[1]
Material: Mn2Be3Si2
Method: DFT, PBE-GGA
State: relaxed

Cell: 8.0614 3.1165 5.5215 Å, 90.00 94.43 90.00°
With the nearest neighbours (Å) after each atom.
Space group C2/m (No. 12)
Inequivalent atoms, fractional coordinates:
Mn  0.0698  0.0000  0.2514 [4 per cell]  4 Be 2.18-2.39, 3 Si 2.36
Be  0.0000  0.5000  0.5000 [2 per cell]  4 Mn 2.18
Be  0.1322  0.5000  0.9436 [4 per cell]  3 Be 2.27-2.50, 3 Si 2.31-2.40, 4 Mn 2.39-2.44
Si  0.2136  0.0000  0.6672 [4 per cell]  6 Be 2.31-2.55, 4 Mn 2.36-2.49, 2 Si 2.52

## Properties
E   -84.34 eV per cell
Uncorrected formation energy   -0.258 eV/atom
Crystal system   monoclinic
D(E_F)   2.49 states/eV/cell
Calculated volume   138.3 Å³ per cell

[2]
Material: MnBe2Si
Method: DFT, PBE-GGA
State: relaxed

Cell: 2.8027 3.0037 4.7478 Å, 90.00 90.00 90.00°
With the nearest neighbours (Å) after each atom.
Space group Pmm2 (No. 25)
Inequivalent atoms, fractional coordinates:
Mn  0.0000  0.0000  0.0000 [1 per cell]  6 Be 2.30-2.44, 4 Si 2.35
Be  0.0000  0.0000  0.5148 [1 per cell]  2 Mn 2.30-2.44, 4 Be 2.32, 4 Si 2.43
Be  0.5000  0.5000  0.7426 [1 per cell]  4 Be 2.32, 2 Si 2.36-2.38, 4 Mn 2.39
Si  0.5000  0.5000  0.2405 [1 per cell]  4 Mn 2.35, 6 Be 2.36-2.43

## Properties
E   -22.48 eV per cell
Uncorrected formation energy   -0.108 eV/atom
Crystal system   orthorhombic
D(E_F)   1.78 states/eV/cell
Calculated volume   40.0 Å³ per cell

[3]
Material: Mn2BeSi
Method: DFT, PBE-GGA
State: relaxed

Cell: 2.7811 2.7811 5.2243 Å, 90.00 90.00 90.00°
With the nearest neighbours (Å) after each atom.
Space group P4mm (No. 99)
Inequivalent atoms, fractional coordinates:
Mn  0.0000  0.0000  0.0000 [1 per cell]  4 Be 2.27, 4 Mn 2.43, 1 Si 2.44
Mn  0.5000  0.5000  0.2726 [1 per cell]  4 Si 2.39, 4 Mn 2.43, 2 Be 2.56-2.67
Be  0.5000  0.5000  0.7830 [1 per cell]  4 Mn 2.27, 4 Si 2.36
Si  0.0000  0.0000  0.5323 [1 per cell]  4 Be 2.36, 5 Mn 2.39-2.44

## Properties
E   -28.51 eV per cell
Uncorrected formation energy   -0.255 eV/atom
Crystal system   tetragonal
D(E_F)   1.65 states/eV/cell
Calculated volume   40.4 Å³ per cell

[4]
Material: Mn2BeSi
Method: DFT, PBE-GGA
State: relaxed

Cell: 2.5583 2.5583 22.9223 Å, 90.00 90.00 120.00°
With the nearest neighbours (Å) after each atom.
Space group R-3m (No. 166, hexagonal axes)
Inequivalent atoms, fractional coordinates:
Mn  0.0000  0.0000  0.2486 [6 per cell]  3 Be 2.39, 3 Si 2.44, 6 Mn 2.56
Be  0.0000  0.0000  0.5000 [3 per cell]  6 Mn 2.39, 6 Be 2.56
Si  0.0000  0.0000  0.0000 [3 per cell]  6 Mn 2.44, 6 Si 2.56

## Properties
E   -82.54 eV per cell
Uncorrected formation energy   -0.006 eV/atom
Crystal system   trigonal
D(E_F)   6.71 states/eV/cell
Calculated volume   129.9 Å³ per cell

[5]
Material: Mn2Be5Si
Method: DFT, PBE-GGA
State: relaxed

Cell: 6.6904 6.7003 3.3325 Å, 90.00 90.00 90.00°
With the nearest neighbours (Å) after each atom.
Space group Cmmm (No. 65)
Inequivalent atoms, fractional coordinates:
Mn  0.0000  0.2502  0.0000 [4 per cell]  10 Be 2.32-2.41, 2 Si 2.36
Be  0.0000  0.0000  0.5000 [2 per cell]  8 Be 2.32-2.37, 4 Mn 2.36
Be  0.2403  0.0000  0.0000 [4 per cell]  6 Be 2.32-2.36, 4 Mn 2.32-2.41, 2 Si 2.41
Be  0.2500  0.2500  0.5000 [4 per cell]  4 Mn 2.36, 6 Be 2.36-2.37, 2 Si 2.37
Si  0.0000  0.5000  0.5000 [2 per cell]  4 Mn 2.36, 8 Be 2.37-2.41

## Properties
E   -88.06 eV per cell
Uncorrected formation energy   -0.205 eV/atom
Crystal system   orthorhombic
D(E_F)   4.85 states/eV/cell
Calculated volume   149.4 Å³ per cell

[6]
Material: Mn3BeSi
Method: DFT, PBE-GGA
State: relaxed

Cell: 3.9481 3.9481 3.9481 Å, 90.00 90.00 90.00°
With the nearest neighbours (Å) after each atom.
Space group Pm-3m (No. 221)
Inequivalent atoms, fractional coordinates:
Mn  0.0000  0.0000  0.5000 [3 per cell]  2 Be 1.97
Be  0.0000  0.0000  0.0000 [1 per cell]  6 Mn 1.97
Si  0.5000  0.5000  0.5000 [1 per cell]  12 Mn 2.79

## Properties
E   -34.54 eV per cell
Uncorrected formation energy   0.423 eV/atom
Crystal system   cubic
D(E_F)   1.61 states/eV/cell
Calculated volume   61.5 Å³ per cell